# HfMg2O4

HfMg2O4 after structural relaxation (PBE, OQMD).

Computed properties:
total DFT energy (no corrections)	-7.719	eV per atom

Unit cell a=6.0725 b=6.0725 c=6.0725 alpha=120.00 beta=90.01 gamma=120.00
Atoms (fractional coordinates):
O 0.6181 0.2360 0.8541
O 0.6041 0.7360 0.8681
O 0.6181 0.7640 0.3820
Mg 0.8750 0.2500 0.6250
Mg 0.3750 0.7500 0.1250
O 0.1319 0.7360 0.8680
Mg 0.3750 0.2500 0.6250
Mg 0.3750 0.7500 0.6250
Hf 0.7500 0.5000 0.2500
O 0.1319 0.2640 0.3959
Hf 0.0000 0.0000 0.0000
O 0.6180 0.2360 0.3819
O 0.1320 0.2640 0.8681
O 0.1459 0.7640 0.3819